Entry 1:
This record from Alexandria via LeMat-Bulk describes crystalline AlW2Cl at its relaxed geometry. The functional is GGA-PBE.

Properties
The calculation puts the formation energy (no corrections) at 571 meV per atom. As for the space group: Pmm2 (25). The value obtained for the polymorph energy (0 for the lowest one) is 0.336 eV per atom.

a b c (Å): 2.7464 4.2134 5.8882
angles (deg): 90.00 90.00 90.00
Last column: nearest neighbours and their distance in Å.
Sites, in units of the cell vectors:
Al1 0.0000 0.0000 0.0000  2 Al 2.75, 5 W 2.76-2.87
W1 0.0000 0.0000 0.5315  4 Cl 2.74, 6 W 2.75-2.87, 1 Al 2.76
W2 0.5000 0.5000 0.7650  1 Cl 2.45
Cl1 0.5000 0.5000 0.3488  5 W 2.45-2.74

Entry 2:
This record from Alexandria via LeMat-Bulk describes crystalline CaPd3Pt at its relaxed geometry. The functional is GGA-PBE.

Properties
As for the formation energy: 6.37 kcal/mol of atoms. As for the space group: Pm-3m (221). The value obtained for the polymorph energy (0 for the lowest one) is 0.669 eV per atom.

a b c (Å): 4.9392 4.9392 4.9392
angles (deg): 90.00 90.00 90.00
Last column: nearest neighbours and their distance in Å.
Sites, in units of the cell vectors:
Ca1 0.0000 0.0000 0.0000  12 Pd 3.49
Pd1 0.0000 0.5000 0.5000  2 Pt 2.47
Pd2 0.5000 0.0000 0.5000  2 Pt 2.47
Pd3 0.5000 0.5000 0.0000  2 Pt 2.47
Pt1 0.5000 0.5000 0.5000  6 Pd 2.47

Entry 3:
This record from Alexandria via LeMat-Bulk describes crystalline La3YTh2 at its relaxed geometry. The functional is GGA-PBE.

Properties
As for the formation energy: 0.94 kcal/mol of atoms. As for the space group: P2_1/m (11). The value obtained for the polymorph energy (0 for the lowest one) is 0.000 eV per atom.

a b c (Å): 10.3365 3.6401 10.9150
angles (deg): 90.00 90.22 90.00
Last column: nearest neighbours and their distance in Å.
Sites, in units of the cell vectors:
La1 0.1236 0.2500 0.2480  7 La 3.57-3.75, 5 Th 3.62-3.75
La2 0.1399 0.2500 0.9194  2 Y 3.57, 7 La 3.59-3.85, 3 Th 3.59-3.71
La3 0.3633 0.7500 0.4150  6 La 3.57-3.83, 3 Th 3.61-3.65, 3 Y 3.64-3.72
La4 0.6367 0.2500 0.5850  6 La 3.57-3.83, 3 Th 3.61-3.65, 3 Y 3.64-3.72
La5 0.8601 0.7500 0.0806  2 Y 3.57, 7 La 3.59-3.85, 3 Th 3.59-3.71
La6 0.8764 0.7500 0.7520  7 La 3.57-3.75, 5 Th 3.62-3.75
Y1 0.3749 0.7500 0.7488  5 La 3.57-3.72, 5 Th 3.58-3.70, 2 Y 3.64
Y2 0.6251 0.2500 0.2512  5 La 3.57-3.72, 5 Th 3.58-3.70, 2 Y 3.64
Th1 0.1178 0.2500 0.5805  4 Th 3.51-3.64, 6 La 3.61-3.71, 2 Y 3.70
Th2 0.3865 0.7500 0.0817  4 Th 3.47-3.64, 3 Y 3.58-3.63, 5 La 3.59-3.75
Th3 0.6135 0.2500 0.9183  4 Th 3.47-3.64, 3 Y 3.58-3.63, 5 La 3.59-3.75
Th4 0.8822 0.7500 0.4195  4 Th 3.51-3.64, 6 La 3.61-3.71, 2 Y 3.70

Entry 4:
This record from Alexandria via LeMat-Bulk describes crystalline TbPPt at its relaxed geometry. The functional is GGA-PBE.

Properties
As for the formation energy: -31.41 kcal/mol of atoms. As for the space group: P-6m2 (187).

a b c (Å): 4.1438 4.1438 3.8889
angles (deg): 90.00 90.00 120.00
Last column: nearest neighbours and their distance in Å.
Sites, in units of the cell vectors:
Tb1 0.0000 0.0000 0.0000  6 Pt 3.08, 6 P 3.08
P1 0.6667 0.3333 0.5000  3 Pt 2.39
Pt1 0.3333 0.6667 0.5000  3 P 2.39

For the records above, the corresponding V values read 17.03, 24.10, 34.22, 19.28 Å³ per atom.